Here is an optimized crystal structure of Sr2Cr2O from Alexandria via LeMat-Bulk. Energies are from PBE+U.

Values from the calculation:
- M_tot (μB per atom) = 1.75
- crystal system = tetragonal
- excess energy over the best structure of this formula in the dataset (meV/atom) = 0
- N(E_F) (states/eV per cell) = 6.59

Lattice parameters (Å, degrees): 6.4869 6.4869 7.0137 90.00 90.00 90.00
Space group I4/mmm (No. 139)
Asymmetric unit:
Sr  0.0000  0.5000  0.2500 (multiplicity 4)
Cr  0.0000  0.0000  0.2201 (multiplicity 4)
O  0.0000  0.0000  0.5000 (multiplicity 2)